## w
A plane-wave DFT calculation with PBE was carried out for an optimized crystal structure of TlGaIN2.

a = 4.5799 Å, b = 4.5799 Å, c = 6.5742 Å
α = 90.00°, β = 90.00°, γ = 90.00°
Closest atoms and distances in Å follow each position.
Space group P4/mmm (No. 123)
Asymmetric unit:
Tl  0.0000  0.0000  0.0000 [1 per cell]  4 N 2.29
Ga  0.5000  0.5000  0.5000 [1 per cell]  4 I 3.24
I  0.0000  0.0000  0.5000 [1 per cell]  4 Ga 3.24, 2 Tl 3.29
N  0.0000  0.5000  0.0000 [2 per cell]  2 Tl 2.29

***

## x
A plane-wave DFT calculation with PBE was carried out for an optimized crystal structure of TlGaIN2.

a = 4.3320 Å, b = 4.3320 Å, c = 5.8811 Å
α = 90.00°, β = 90.00°, γ = 90.00°
Closest atoms and distances in Å follow each position.
Space group P4/mmm (No. 123)
Asymmetric unit:
Tl  0.0000  0.0000  0.0000 [1 per cell]  4 I 3.06
Ga  0.5000  0.5000  0.5000 [1 per cell]  4 N 2.17
I  0.5000  0.5000  0.0000 [1 per cell]  2 Ga 2.94, 4 Tl 3.06
N  0.0000  0.5000  0.5000 [2 per cell]  2 Ga 2.17

***

The structure with the greatest stability is x.

***

## w
A plane-wave DFT calculation with PBE was carried out for an optimized crystal structure of VGaIN2.

a = 3.8547 Å, b = 3.8547 Å, c = 5.8153 Å
α = 90.00°, β = 90.00°, γ = 90.00°
Closest atoms and distances in Å follow each position.
Space group P4/mmm (No. 123)
Asymmetric unit:
V  0.0000  0.0000  0.0000 [1 per cell]  4 I 2.73
Ga  0.5000  0.5000  0.5000 [1 per cell]  4 N 1.93
I  0.5000  0.5000  0.0000 [1 per cell]  4 V 2.73, 2 Ga 2.91
N  0.0000  0.5000  0.5000 [2 per cell]  2 Ga 1.93

***

## x
A plane-wave DFT calculation with PBE was carried out for an optimized crystal structure of VGaIN2.

a = 3.9252 Å, b = 3.9252 Å, c = 5.5994 Å
α = 90.00°, β = 90.00°, γ = 90.00°
Closest atoms and distances in Å follow each position.
Space group P4/mmm (No. 123)
Asymmetric unit:
V  0.0000  0.0000  0.0000 [1 per cell]  4 N 1.96
Ga  0.5000  0.5000  0.5000 [1 per cell]  4 I 2.78
I  0.0000  0.0000  0.5000 [1 per cell]  4 Ga 2.78, 2 V 2.80
N  0.0000  0.5000  0.0000 [2 per cell]  2 V 1.96

***

The structure with the greatest stability is x.

***

## w
A plane-wave DFT calculation with PBE was carried out for an optimized crystal structure of ZnGaI2N.

a = 5.8215 Å, b = 5.8215 Å, c = 3.7093 Å
α = 90.00°, β = 90.00°, γ = 90.00°
Closest atoms and distances in Å follow each position.
Space group P4/mmm (No. 123)
Asymmetric unit:
Zn  0.0000  0.0000  0.0000 [1 per cell]  8 I 3.45, 2 Zn 3.71
Ga  0.5000  0.5000  0.5000 [1 per cell]  2 N 1.85
I  0.0000  0.5000  0.5000 [2 per cell]  2 Ga 2.91
N  0.5000  0.5000  0.0000 [1 per cell]  2 Ga 1.85

***

## x
A plane-wave DFT calculation with PBE was carried out for an optimized crystal structure of ZnGaI2N.

a = 5.9415 Å, b = 5.9415 Å, c = 3.9074 Å
α = 90.00°, β = 90.00°, γ = 90.00°
Closest atoms and distances in Å follow each position.
Space group P4/mmm (No. 123)
Asymmetric unit:
Zn  0.0000  0.0000  0.0000 [1 per cell]  2 N 1.95
Ga  0.5000  0.5000  0.5000 [1 per cell]  8 I 3.56, 2 Ga 3.91
I  0.0000  0.5000  0.0000 [2 per cell]  2 Zn 2.97
N  0.0000  0.0000  0.5000 [1 per cell]  2 Zn 1.95

***

The structure with the greatest stability is x.

***

## w
A plane-wave DFT calculation with PBE was carried out for an optimized crystal structure of ZrGaI2N.

a = 6.0231 Å, b = 6.0231 Å, c = 4.0474 Å
α = 90.00°, β = 90.00°, γ = 90.00°
Closest atoms and distances in Å follow each position.
Space group P4/mmm (No. 123)
Asymmetric unit:
Zr  0.0000  0.0000  0.0000 [1 per cell]  2 N 2.02
Ga  0.5000  0.5000  0.5000 [1 per cell]  8 I 3.63, 2 Ga 4.05
I  0.0000  0.5000  0.0000 [2 per cell]  2 Zr 3.01
N  0.0000  0.0000  0.5000 [1 per cell]  2 Zr 2.02

***

## x
A plane-wave DFT calculation with PBE was carried out for an optimized crystal structure of ZrGaI2N.

a = 6.2977 Å, b = 6.2977 Å, c = 3.9492 Å
α = 90.00°, β = 90.00°, γ = 90.00°
Closest atoms and distances in Å follow each position.
Space group P4/mmm (No. 123)
Asymmetric unit:
Zr  0.0000  0.0000  0.0000 [1 per cell]  2 N 1.97
Ga  0.5000  0.5000  0.0000 [1 per cell]  8 I 3.72, 2 Ga 3.95
I  0.0000  0.5000  0.5000 [2 per cell]  2 N 3.15
N  0.0000  0.0000  0.5000 [1 per cell]  2 Zr 1.97

***

The structure with the greatest stability is w.

***

## w
A plane-wave DFT calculation with PBE was carried out for an optimized crystal structure of NaGa2I8.

a = 8.3893 Å, b = 8.3893 Å, c = 8.9607 Å
α = 90.00°, β = 90.00°, γ = 120.00°
Closest atoms and distances in Å follow each position.
Space group P-3m1 (No. 164)
Asymmetric unit:
Na  0.0000  0.0000  0.0000 [1 per cell]  6 I 3.32
Ga  0.3333  0.6667  0.6571 [2 per cell]  4 I 2.58-2.59
I  0.1625  0.3250  0.7396 [6 per cell]  1 Ga 2.59
I  0.3333  0.6667  0.3690 [2 per cell]  1 Ga 2.58

***

## x
A plane-wave DFT calculation with PBE was carried out for an optimized crystal structure of NaGa2I8.

a = 15.9109 Å, b = 10.4409 Å, c = 7.2069 Å
α = 90.00°, β = 104.78°, γ = 90.00°
Closest atoms and distances in Å follow each position.
Space group C2/m (No. 12)
Asymmetric unit:
Na  0.0000  0.0000  0.0000 [2 per cell]  6 I 3.28-3.33
Ga  0.1737  0.0000  0.6702 [4 per cell]  4 I 2.56-2.61
I  0.0891  0.1998  0.7453 [8 per cell]  1 Ga 2.61
I  0.1746  0.5000  0.0939 [4 per cell]  1 Ga 2.57
I  0.1873  0.0000  0.3235 [4 per cell]  1 Ga 2.56

***

The structure with the greatest stability is x.

***

## w
A plane-wave DFT calculation with PBE was carried out for an optimized crystal structure of NaGaI3.

a = 5.8039 Å, b = 5.8039 Å, c = 5.8039 Å
α = 90.00°, β = 90.00°, γ = 90.00°
Closest atoms and distances in Å follow each position.
Space group Pm-3m (No. 221)
Asymmetric unit:
Na  0.0000  0.0000  0.0000 [1 per cell]  12 I 4.10
Ga  0.5000  0.5000  0.5000 [1 per cell]  6 I 2.90
I  0.0000  0.5000  0.5000 [3 per cell]  2 Ga 2.90

***

## x
A plane-wave DFT calculation with PBE was carried out for an optimized crystal structure of NaGaI3.

a = 8.1437 Å, b = 7.3102 Å, c = 15.6709 Å
α = 90.00°, β = 114.16°, γ = 90.00°
Closest atoms and distances in Å follow each position.
Space group P2_1/c (No. 14)
Asymmetric unit:
Na  0.1845  0.0246  0.1621 [4 per cell]  6 I 3.22-3.40
Ga  0.3692  0.5621  0.4340 [4 per cell]  1 Ga 2.46, 3 I 2.65
I  0.1496  0.1900  0.8249 [4 per cell]  1 Ga 2.65
I  0.1568  0.7460  0.9905 [4 per cell]  1 Ga 2.65
I  0.4800  0.7274  0.8304 [4 per cell]  1 Ga 2.65

***

## y
A plane-wave DFT calculation with PBE was carried out for an optimized crystal structure of NaGaI3.

a = 5.9857 Å, b = 5.9857 Å, c = 5.9857 Å
α = 90.00°, β = 90.00°, γ = 90.00°
Closest atoms and distances in Å follow each position.
Space group Pm-3m (No. 221)
Asymmetric unit:
Na  0.0000  0.0000  0.0000 [1 per cell]  6 I 2.99
Ga  0.5000  0.5000  0.5000 [1 per cell]  12 I 4.23
I  0.0000  0.0000  0.5000 [3 per cell]  2 Na 2.99

***

The structure with the greatest stability is x.